1.
Density functional theory data (PBE-GGA) for a relaxed K2NaP2 crystal.

```
K2NaP2
1.0
6.4746 0.0000 0.0000
-3.2373 5.3401 0.2393
0.0000 -2.0364 8.3848
Na P K
2 4 4
direct
0.9189 0.0000 0.2500
0.0811 0.0000 0.7500
0.0126 0.6795 0.9956
0.9874 0.3205 0.0044
0.6669 0.6795 0.4956
0.3331 0.3205 0.5044
0.7959 0.2948 0.6409
0.2041 0.7052 0.3591
0.4989 0.2948 0.1409
0.5011 0.7052 0.8591
```

- SG = C2/c
- formation enthalpy at 0 K (meV per atom) = -303
- density of states at the Fermi level (states/eV per cell) = 5.88
- calculated density (g cm⁻³) = 1.85

***

2.
Density functional theory data (PBE-GGA) for a relaxed K2NaP2 crystal.

```
K2NaP2
1.0
7.6222 0.0000 0.0000
0.0000 7.6222 0.0000
0.0000 0.0000 4.9961
Na K P
2 4 4
direct
0.0000 0.0000 0.0000
0.5000 0.5000 0.0000
0.1776 0.6776 0.5000
0.6776 0.8224 0.5000
0.8224 0.3224 0.5000
0.3224 0.1776 0.5000
0.1005 0.3995 0.0000
0.6005 0.1005 0.0000
0.8995 0.6005 0.0000
0.3995 0.8995 0.0000
```

- SG = P4/mbm
- formation enthalpy at 0 K (meV per atom) = -276
- density of states at the Fermi level (states/eV per cell) = 7.75
- calculated density (g cm⁻³) = 1.87

***

3.
Density functional theory data (PBE-GGA) for a relaxed K4Na2P crystal.

```
K4Na2P
1.0
-5.6529 2.6017 -0.9738
-1.7759 -1.6866 5.8029
-0.3173 9.1762 5.9883
Na K P
2 4 1
direct
0.6488 0.6488 0.7024
0.3512 0.3512 0.2976
0.0000 0.5000 0.0000
0.5000 0.0000 0.0000
0.8440 0.8440 0.3120
0.1560 0.1560 0.6880
0.0000 0.0000 0.0000
```

- SG = I4/mmm
- formation enthalpy at 0 K (meV per atom) = 19
- density of states at the Fermi level (states/eV per cell) = 8.25
- calculated density (g cm⁻³) = 0.98

***

4.
Density functional theory data (PBE-GGA) for a relaxed KNaP2 crystal.

```
KNaP2
1.0
4.5793 0.0000 0.0000
0.0000 4.5793 0.0000
2.2897 2.2897 9.8053
P K Na
4 2 2
direct
0.8750 0.7309 0.7500
0.3750 0.5191 0.7500
0.4809 0.1250 0.2500
0.2691 0.6250 0.2500
0.7500 0.2500 0.5000
0.0000 0.0000 0.0000
0.5000 0.5000 0.0000
0.2500 0.7500 0.5000
```

- SG = I-42d
- formation enthalpy at 0 K (meV per atom) = 51
- density of states at the Fermi level (states/eV per cell) = 5.77
- calculated density (g cm⁻³) = 2.00

***

5.
Density functional theory data (PBE-GGA) for a relaxed K2NaP2 crystal.

```
K2NaP2
1.0
4.8402 0.0000 0.0000
0.0000 4.8402 0.0000
2.4201 2.4201 6.5233
K P Na
2 2 1
direct
0.7500 0.2500 0.5000
0.2500 0.7500 0.5000
0.4177 0.4177 0.1646
0.5823 0.5823 0.8354
0.0000 0.0000 0.0000
```

- SG = I4/mmm
- formation enthalpy at 0 K (meV per atom) = -77
- density of states at the Fermi level (states/eV per cell) = 2.69
- calculated density (g cm⁻³) = 1.77

***

6.
Density functional theory data (PBE-GGA) for a relaxed KNaP crystal.

```
KNaP
1.0
-4.2045 -2.4091 -0.0931
-2.0205 -1.3748 4.1854
-7.3464 7.9582 1.8263
P Na K
2 2 2
direct
0.4741 0.4741 0.1069
0.5259 0.5259 0.8931
0.8473 0.8473 0.9414
0.1527 0.1527 0.0586
0.2555 0.2555 0.7086
0.7445 0.7445 0.2914
```

- SG = C2/m
- formation enthalpy at 0 K (meV per atom) = -253
- density of states at the Fermi level (states/eV per cell) = 5.00
- calculated density (g cm⁻³) = 1.42

***

7.
Density functional theory data (PBE-GGA) for a relaxed K2Na2P crystal.

```
K2Na2P
1.0
-1.9368 6.3484 3.7372
-5.1487 1.5972 -5.3814
-4.1568 -3.0726 3.0652
Na P K
4 2 4
direct
0.6651 0.1651 0.0000
0.8349 0.6651 0.0000
0.3349 0.8349 0.0000
0.1651 0.3349 0.0000
0.5000 0.5000 0.0000
0.0000 0.0000 0.0000
0.7045 0.7955 0.5000
0.2045 0.7045 0.5000
0.2955 0.2045 0.5000
0.7955 0.2955 0.5000
```

- SG = P4/mbm
- formation enthalpy at 0 K (meV per atom) = -55
- density of states at the Fermi level (states/eV per cell) = 5.65
- calculated density (g cm⁻³) = 1.48

***

8.
Density functional theory data (PBE-GGA) for a relaxed KNa2P6 crystal.

```
KNa2P6
1.0
4.8992 -1.1062 -2.8444
-0.1842 5.3090 -2.3820
-2.5668 0.8985 9.3153
P Na K
6 2 1
direct
0.7248 0.8709 0.3623
0.7248 0.4914 0.3623
0.2752 0.5087 0.6377
0.2752 0.1291 0.6377
0.5000 0.3000 0.0000
0.5000 0.7000 0.0000
0.2094 0.6713 0.3427
0.7906 0.3287 0.6573
0.0000 0.0000 0.0000
```

- SG = C2/m
- formation enthalpy at 0 K (meV per atom) = -156
- density of states at the Fermi level (states/eV per cell) = 2.20
- calculated density (g cm⁻³) = 2.19